## 1
Compound: Er3Mg4
Source: OQMD
Functional: GGA-PBE
Structure: relaxed

ρ	5.353	g/cm3

Structure (CIF):
```
data_Er3Mg4
_chemical_formula_sum 'Er6 Mg8'
_cell_length_a 8.9316
_cell_length_b 8.9316
_cell_length_c 5.3790
_cell_angle_alpha 90.00
_cell_angle_beta 90.00
_cell_angle_gamma 120.00
_space_group_name_H-M_alt 'P 1'
_space_group_IT_number 1
loop_
_space_group_symop_operation_xyz
'x,y,z'
loop_
_atom_site_label
_atom_site_type_symbol
_atom_site_fract_x
_atom_site_fract_y
_atom_site_fract_z
Er1 Er 0.0635 0.2505 0.2500
Er2 Er 0.1869 0.9365 0.2500
Er3 Er 0.2505 0.1869 0.7500
Er4 Er 0.7495 0.8131 0.2500
Er5 Er 0.8131 0.0635 0.7500
Er6 Er 0.9365 0.7495 0.7500
Mg1 Mg 0.1001 0.4850 0.7500
Mg2 Mg 0.3333 0.6667 0.2500
Mg3 Mg 0.3850 0.8999 0.7500
Mg4 Mg 0.4850 0.3850 0.2500
Mg5 Mg 0.5150 0.6150 0.7500
Mg6 Mg 0.6150 0.1001 0.2500
Mg7 Mg 0.6667 0.3333 0.7500
Mg8 Mg 0.8999 0.5150 0.2500
```

=====

## 2
Compound: Er3Mg4
Source: OQMD
Functional: GGA-PBE
Structure: relaxed

ρ	5.355	g/cm3

Structure (CIF):
```
data_Er3Mg4
_chemical_formula_sum 'Er6 Mg8'
_cell_length_a 8.9978
_cell_length_b 8.9978
_cell_length_c 5.2987
_cell_angle_alpha 90.00
_cell_angle_beta 90.00
_cell_angle_gamma 120.00
_space_group_name_H-M_alt 'P 1'
_space_group_IT_number 1
loop_
_space_group_symop_operation_xyz
'x,y,z'
loop_
_atom_site_label
_atom_site_type_symbol
_atom_site_fract_x
_atom_site_fract_y
_atom_site_fract_z
Er1 Er 0.0988 0.6305 0.2500
Er2 Er 0.3695 0.4683 0.2500
Er3 Er 0.4683 0.0988 0.7500
Er4 Er 0.5317 0.9012 0.2500
Er5 Er 0.6305 0.5317 0.7500
Er6 Er 0.9012 0.3695 0.7500
Mg1 Mg 0.0477 0.8132 0.7500
Mg2 Mg 0.1868 0.2345 0.7500
Mg3 Mg 0.2345 0.0477 0.2500
Mg4 Mg 0.3333 0.6667 0.7500
Mg5 Mg 0.6667 0.3333 0.2500
Mg6 Mg 0.7655 0.9523 0.7500
Mg7 Mg 0.8132 0.7655 0.2500
Mg8 Mg 0.9523 0.1868 0.2500
```

=====

Tell me which of them is the least stable. Sure, it is 2.

=====

## 1
Compound: NaErMg
Source: OQMD
Functional: GGA-PBE
Structure: relaxed

ρ	3.534	g/cm3

Structure (CIF):
```
data_NaErMg
_chemical_formula_sum 'Na1 Er1 Mg1'
_cell_length_a 5.2239
_cell_length_b 5.2239
_cell_length_c 5.2239
_cell_angle_alpha 60.00
_cell_angle_beta 60.00
_cell_angle_gamma 60.00
_space_group_name_H-M_alt 'P 1'
_space_group_IT_number 1
loop_
_space_group_symop_operation_xyz
'x,y,z'
loop_
_atom_site_label
_atom_site_type_symbol
_atom_site_fract_x
_atom_site_fract_y
_atom_site_fract_z
Na1 Na 0.0000 0.0000 0.0000
Er1 Er 0.5000 0.5000 0.5000
Mg1 Mg 0.7500 0.7500 0.7500
```

=====

## 2
Compound: NaErMg
Source: OQMD
Functional: GGA-PBE
Structure: relaxed

ρ	3.394	g/cm3

Structure (CIF):
```
data_NaErMg
_chemical_formula_sum 'Na1 Er1 Mg1'
_cell_length_a 5.2950
_cell_length_b 5.2950
_cell_length_c 5.2950
_cell_angle_alpha 60.00
_cell_angle_beta 60.00
_cell_angle_gamma 60.00
_space_group_name_H-M_alt 'P 1'
_space_group_IT_number 1
loop_
_space_group_symop_operation_xyz
'x,y,z'
loop_
_atom_site_label
_atom_site_type_symbol
_atom_site_fract_x
_atom_site_fract_y
_atom_site_fract_z
Na1 Na 0.0000 0.0000 0.0000
Er1 Er 0.7500 0.7500 0.7500
Mg1 Mg 0.5000 0.5000 0.5000
```

=====

Tell me which of them is the least stable. Sure, it is 2.

=====

## 1
Compound: ErMgSc
Source: OQMD
Functional: GGA-PBE
Structure: relaxed

ρ	4.246	g/cm3

Structure (CIF):
```
data_ErMgSc
_chemical_formula_sum 'Er1 Mg1 Sc1'
_cell_length_a 5.0765
_cell_length_b 5.0765
_cell_length_c 5.0765
_cell_angle_alpha 60.00
_cell_angle_beta 60.00
_cell_angle_gamma 60.00
_space_group_name_H-M_alt 'P 1'
_space_group_IT_number 1
loop_
_space_group_symop_operation_xyz
'x,y,z'
loop_
_atom_site_label
_atom_site_type_symbol
_atom_site_fract_x
_atom_site_fract_y
_atom_site_fract_z
Er1 Er 0.0000 0.0000 0.0000
Mg1 Mg 0.7500 0.7500 0.7500
Sc1 Sc 0.2500 0.2500 0.2500
```

=====

## 2
Compound: ErMgSc
Source: OQMD
Functional: GGA-PBE
Structure: relaxed

ρ	4.383	g/cm3

Structure (CIF):
```
data_ErMgSc
_chemical_formula_sum 'Er1 Mg1 Sc1'
_cell_length_a 5.0229
_cell_length_b 5.0229
_cell_length_c 5.0229
_cell_angle_alpha 60.00
_cell_angle_beta 60.00
_cell_angle_gamma 60.00
_space_group_name_H-M_alt 'P 1'
_space_group_IT_number 1
loop_
_space_group_symop_operation_xyz
'x,y,z'
loop_
_atom_site_label
_atom_site_type_symbol
_atom_site_fract_x
_atom_site_fract_y
_atom_site_fract_z
Er1 Er 0.0000 0.0000 0.0000
Mg1 Mg 0.2500 0.2500 0.2500
Sc1 Sc 0.5000 0.5000 0.5000
```

=====

Tell me which of them is the least stable. Sure, it is 1.